A relaxed BaCrRh2 crystal, computed with PBEsol.

a b c (Å): 3.2305 3.2305 7.4037
angles (deg): 90.00 90.00 90.00
Closest atoms and distances in Å follow each position.
Space group P4mm (No. 99)
One atom of each set of equivalent atoms:
Ba 0.0000 0.0000 0.0000 [1 per cell]  4 Rh 3.17, 4 Ba 3.23
Cr 0.5000 0.5000 0.6276 [1 per cell]  5 Rh 2.45
Rh 0.0000 0.0000 0.5086 [1 per cell]  4 Cr 2.45
Rh 0.5000 0.5000 0.2962 [1 per cell]  1 Cr 2.45

Calculated values
Uncorrected energy: -26.6 eV/f.u.
ΔE_f: 526 meV/atom
Fermi-level density of states: 6.1 states/eV per cell
Size of the total moment: 2.1 μB per formula unit
Mass density: 8.49 Mg/m³

A relaxed Be3SbOs crystal, computed with PBEsol.

a b c (Å): 4.3822 4.3822 4.3822
angles (deg): 90.00 90.00 90.00
Closest atoms and distances in Å follow each position.
Space group Pm-3m (No. 221)
One atom of each set of equivalent atoms:
Be 0.0000 0.0000 0.5000 [3 per cell]  2 Sb 2.19
Sb 0.0000 0.0000 0.0000 [1 per cell]  6 Be 2.19
Os 0.5000 0.5000 0.5000 [1 per cell]  12 Be 3.10

Calculated values
Formation energy from raw total energies: 45.608 kcal/mol of atoms
Uncorrected energy: -18.9 eV/f.u.
Fermi-level density of states: 4.2 states/eV per cell
Size of the total moment: 1.1 μB per formula unit
Mass density: 6.69 Mg/m³

A relaxed RbZrTl2Cr crystal, computed with PBEsol.

a b c (Å): 5.7474 5.7474 5.2554
angles (deg): 90.00 90.00 90.00
Closest atoms and distances in Å follow each position.
Space group P4/mmm (No. 123)
One atom of each set of equivalent atoms:
Rb 0.0000 0.0000 0.0000 [1 per cell]  2 Zr 2.63, 4 Tl 2.87
Zr 0.0000 0.0000 0.5000 [1 per cell]  2 Rb 2.63
Tl 0.0000 0.5000 0.0000 [2 per cell]  2 Rb 2.87
Cr 0.5000 0.5000 0.5000 [1 per cell]  8 Tl 3.89, 4 Zr 4.06

Calculated values
Uncorrected energy: -15.4 eV/f.u.
ΔE_f: 2038 meV/atom
Fermi-level density of states: 5.3 states/eV per cell
Size of the total moment: 5.7 μB per formula unit
Mass density: 6.10 Mg/m³

A relaxed Be3Te crystal, computed with PBEsol.

a b c (Å): 3.6755 3.6755 5.1619
angles (deg): 90.00 90.00 120.00
Closest atoms and distances in Å follow each position.
Space group P-6m2 (No. 187)
One atom of each set of equivalent atoms:
Be 0.0000 0.0000 0.0000 [1 per cell]  6 Be 2.35, 2 Te 2.58
Be 0.6667 0.3333 0.1958 [2 per cell]  1 Be 2.02
Te 0.0000 0.0000 0.5000 [1 per cell]  8 Be 2.58-2.64

Calculated values
Formation energy from raw total energies: 12.452 kcal/mol of atoms
Uncorrected energy: -13.4 eV/f.u.
Fermi-level density of states: 1.6 states/eV per cell
Size of the total moment: 0.0 μB per formula unit
Mass density: 4.25 Mg/m³

A relaxed Li2In crystal, computed with PBEsol.

a b c (Å): 7.5664 7.5664 7.5664
angles (deg): 90.00 90.00 90.00
Closest atoms and distances in Å follow each position.
Space group Fd-3m (No. 227, origin choice 2)
One atom of each set of equivalent atoms:
Li 0.0000 0.0000 0.0000 [16 per cell]  6 Li 2.68
In 0.1250 0.1250 0.6250 [8 per cell]  12 Li 3.14, 4 In 3.28

Calculated values
Uncorrected energy: -7.3 eV/f.u.
ΔE_f: -143 meV/atom
Fermi-level density of states: 9.0 states/eV per cell
Size of the total moment: 0.0 μB per formula unit
Mass density: 3.95 Mg/m³

A relaxed In2Hg6P3Cl9 crystal, computed with PBEsol.

a b c (Å): 10.3343 10.6601 10.7367
angles (deg): 90.00 115.73 90.00
Closest atoms and distances in Å follow each position.
Space group P2_1 (No. 4)
One atom of each set of equivalent atoms:
In 0.1313 0.0000 0.4076 [2 per cell]  6 Cl 2.43-2.66
In 0.1993 0.3719 0.8353 [2 per cell]  6 Cl 2.42-2.64
Hg 0.0258 0.9396 0.8181 [2 per cell]  2 P 2.39-2.40
Hg 0.2130 0.6770 0.1132 [2 per cell]  2 P 2.39-2.40
Hg 0.3241 0.6125 0.5013 [2 per cell]  2 P 2.39
Hg 0.3529 0.3434 0.2751 [2 per cell]  2 P 2.40-2.41
Hg 0.3641 0.7659 0.8505 [2 per cell]  2 P 2.39
Hg 0.3871 0.0019 0.1400 [2 per cell]  2 P 2.40
P 0.2121 0.5232 0.2754 [2 per cell]  4 Hg 2.39-2.41
P 0.2438 0.8442 0.9804 [2 per cell]  4 Hg 2.39-2.40
P 0.4877 0.6809 0.7268 [2 per cell]  4 Hg 2.39-2.40
Cl 0.0041 0.9978 0.1331 [2 per cell]  2 In 2.64-2.66
Cl 0.0221 0.7778 0.3692 [2 per cell]  2 In 2.58-2.59
Cl 0.1419 0.5518 0.6536 [2 per cell]  2 In 2.61-2.66
Cl 0.1632 0.2139 0.9861 [2 per cell]  1 In 2.47
Cl 0.1776 0.2228 0.3977 [2 per cell]  1 In 2.43
Cl 0.1934 0.9816 0.6557 [2 per cell]  1 In 2.46
Cl 0.3561 0.9122 0.4122 [2 per cell]  1 In 2.48
Cl 0.3863 0.2818 0.7843 [2 per cell]  1 In 2.42
Cl 0.3868 0.4988 0.0229 [2 per cell]  1 In 2.50

Calculated values
Formation energy from raw total energies: -14.271 kcal/mol of atoms
Uncorrected energy: -57.2 eV/f.u.
Fermi-level density of states: 0.0 states/eV per cell
Size of the total moment: 0.0 μB per formula unit
Mass density: 5.75 Mg/m³

A relaxed TaReRh2 crystal, computed with PBEsol.

a b c (Å): 2.7465 3.8664 5.4916
angles (deg): 90.00 90.00 90.00
Closest atoms and distances in Å follow each position.
Space group Pmmm (No. 47)
One atom of each set of equivalent atoms:
Ta 0.0000 0.0000 0.0000 [1 per cell]  2 Re 2.75, 2 Ta 2.75, 8 Rh 2.76
Re 0.0000 0.0000 0.5000 [1 per cell]  8 Rh 2.72, 2 Ta 2.75, 2 Re 2.75
Rh 0.5000 0.5000 0.2588 [2 per cell]  4 Rh 2.65-2.84, 4 Re 2.72, 4 Ta 2.76

Calculated values
Uncorrected energy: -43.5 eV/f.u.
ΔE_f: -333 meV/atom
Fermi-level density of states: 2.0 states/eV per cell
Size of the total moment: 0.0 μB per formula unit
Mass density: 16.32 Mg/m³

A relaxed SrCa2Sb crystal, computed with PBEsol.

a b c (Å): 4.2506 4.2506 7.5619
angles (deg): 90.00 90.00 90.00
Closest atoms and distances in Å follow each position.
Space group P4/mmm (No. 123)
One atom of each set of equivalent atoms:
Sr 0.0000 0.0000 0.0000 [1 per cell]  8 Ca 3.75, 2 Sb 3.78
Ca 0.5000 0.5000 0.2972 [2 per cell]  1 Ca 3.07, 4 Sb 3.37
Sb 0.0000 0.0000 0.5000 [1 per cell]  8 Ca 3.37

Calculated values
Formation energy from raw total energies: -11.018 kcal/mol of atoms
Uncorrected energy: -12.6 eV/f.u.
Fermi-level density of states: 2.5 states/eV per cell
Size of the total moment: 0.0 μB per formula unit
Mass density: 3.52 Mg/m³